This record from the Alexandria database describes a relaxed Rb2YBe2O4 crystal. The functional is PBE.

Geometry as POSCAR:
```
Rb2YBe2O4
1.0
-2.235 0.754 -2.447
-7.255 1.164 6.986
3.337 5.251 0.930
O Be Y Rb
4 2 1 2
Direct
0.565 0.889 0.131
0.804 0.936 0.609
0.435 0.111 0.869
0.196 0.064 0.391
0.315 0.022 0.630
0.685 0.978 0.370
0.000 0.000 0.000
0.844 0.305 0.688
0.156 0.695 0.312
```

Results
* raw total energy: -6.197 eV per atom
* SG: C2/m, No. 12
* calculated volume: 22.8 Å³/atom
* energy relative to the elements, uncorrected: -2232 meV/atom

***

This record from the Alexandria database describes a relaxed RbYBeO3 crystal. The functional is PBE.

Geometry as POSCAR:
```
RbYBeO3
1.0
3.406 0.000 0.000
0.000 7.914 -0.244
0.000 -2.307 7.365
Y O Be Rb
2 6 2 2
Direct
0.750 0.338 0.837
0.250 0.662 0.163
0.250 0.533 0.854
0.250 0.866 0.464
0.750 0.863 0.182
0.750 0.467 0.146
0.250 0.137 0.818
0.750 0.134 0.536
0.250 0.063 0.605
0.750 0.937 0.395
0.250 0.199 0.228
0.750 0.801 0.772
```

Results
* raw total energy: -6.975 eV per atom
* SG: P2_1/m, No. 11
* calculated volume: 16.4 Å³/atom
* energy relative to the elements, uncorrected: -2636 meV/atom

***

This record from the Alexandria database describes a relaxed Rb2YBeO4 crystal. The functional is PBE.

Geometry as POSCAR:
```
Rb2YBeO4
1.0
-2.205 4.536 0.848
-1.760 0.858 6.256
9.319 6.906 2.720
Rb O Be Y
4 8 2 2
Direct
0.930 0.500 0.141
0.570 0.500 0.859
0.180 0.000 0.641
0.820 0.000 0.359
0.269 0.169 0.919
0.188 0.331 0.419
0.562 0.169 0.081
0.358 0.831 0.081
0.392 0.669 0.419
0.812 0.831 0.919
0.938 0.669 0.581
0.481 0.331 0.581
0.250 0.500 0.500
0.500 0.000 0.000
0.000 0.000 0.000
0.750 0.500 0.500
```

Results
* raw total energy: -5.835 eV per atom
* SG: Fddd, No. 70
* calculated volume: 22.4 Å³/atom
* energy relative to the elements, uncorrected: -1840 meV/atom

***

This record from the Alexandria database describes a relaxed BeReO4 crystal. The functional is PBE.

Geometry as POSCAR:
```
BeReO4
1.0
-0.442 -3.774 -3.431
2.607 -3.127 3.104
-4.519 2.291 1.881
O Re Be
4 1 1
Direct
0.105 0.261 0.731
0.625 0.470 0.731
0.530 0.895 0.269
0.739 0.375 0.269
0.500 0.500 0.000
0.750 0.250 0.500
```

Results
* raw total energy: -7.781 eV per atom
* SG: I-4, No. 82
* calculated volume: 17.5 Å³/atom
* energy relative to the elements, uncorrected: -1779 meV/atom

***

This record from the Alexandria database describes a relaxed Be3ReO crystal. The functional is PBE.

Geometry as POSCAR:
```
Be3ReO
1.0
-0.027 1.731 3.131
2.324 -2.372 1.331
2.720 2.044 -1.107
Be O Re
3 1 1
Direct
0.000 0.500 0.000
0.000 0.000 0.500
0.500 0.000 0.000
0.000 0.000 0.000
0.500 0.500 0.500
```

Results
* energy above the most stable polymorph in this dataset: 0 meV/atom
* raw total energy: -5.953 eV per atom
* SG: Pm-3m, No. 221
* calculated volume: 9.2 Å³/atom
* energy relative to the elements, uncorrected: -236 meV/atom

***

This record from the Alexandria database describes a relaxed Be3ReO crystal. The functional is PBE.

Geometry as POSCAR:
```
Be3ReO
1.0
4.298 0.000 0.000
0.000 4.298 0.000
0.000 0.000 4.298
Re Be O
1 3 1
Direct
0.000 0.000 0.000
0.500 0.000 0.000
0.000 0.500 0.000
0.000 0.000 0.500
0.500 0.500 0.500
```

Results
* energy above the most stable polymorph in this dataset: 1960 meV/atom
* raw total energy: -3.993 eV per atom
* SG: Pm-3m, No. 221
* calculated volume: 15.9 Å³/atom
* energy relative to the elements, uncorrected: 1724 meV/atom

***

This record from the Alexandria database describes a relaxed BeReRhO2 crystal. The functional is PBE.

Geometry as POSCAR:
```
BeReRhO2
1.0
3.680 0.000 0.000
0.000 5.472 0.000
0.000 0.000 3.680
Rh Be O Re
1 1 2 1
Direct
0.000 0.000 0.000
0.000 0.500 0.000
0.000 0.000 0.500
0.500 0.000 0.000
0.500 0.500 0.500
```

Results
* raw total energy: -5.796 eV per atom
* SG: P4/mmm, No. 123
* calculated volume: 14.8 Å³/atom
* energy relative to the elements, uncorrected: 893 meV/atom

***

This record from the Alexandria database describes a relaxed Be2ReRuO crystal. The functional is PBE.

Geometry as POSCAR:
```
Be2ReRuO
1.0
4.418 0.000 0.000
0.000 3.561 0.000
0.000 0.000 4.418
O Be Ru Re
1 2 1 1
Direct
0.000 0.500 0.000
0.000 0.000 0.500
0.500 0.000 0.000
0.000 0.000 0.000
0.500 0.500 0.500
```

Results
* raw total energy: -5.832 eV per atom
* SG: P4/mmm, No. 123
* calculated volume: 13.9 Å³/atom
* energy relative to the elements, uncorrected: 995 meV/atom

***

This record from the Alexandria database describes a relaxed Be2ReSO crystal. The functional is PBE.

Geometry as POSCAR:
```
Be2ReSO
1.0
-3.105 -0.928 -0.495
0.938 -4.655 2.845
-0.893 1.512 2.768
Be Re S O
2 1 1 1
Direct
0.000 0.000 0.500
0.500 0.000 0.000
0.500 0.500 0.500
0.000 0.500 0.000
0.000 0.000 0.000
```

Results
* raw total energy: -5.974 eV per atom
* SG: P4/mmm, No. 123
* calculated volume: 11.9 Å³/atom
* energy relative to the elements, uncorrected: -177 meV/atom

***

This record from the Alexandria database describes a relaxed Sr2BeReO6 crystal. The functional is PBE.

Geometry as POSCAR:
```
Sr2BeReO6
1.0
5.442 -0.001 0.000
-0.001 5.442 0.000
2.720 2.720 3.843
O Be Sr Re
6 1 2 1
Direct
0.747 0.747 0.000
0.253 0.253 0.494
0.747 0.747 0.506
0.253 0.747 0.000
0.253 0.253 0.000
0.747 0.253 0.000
0.500 0.500 0.000
0.250 0.750 0.500
0.750 0.250 0.500
0.000 0.000 0.000
```

Results
* raw total energy: -7.214 eV per atom
* SG: I4/mmm, No. 139
* calculated volume: 11.4 Å³/atom
* energy relative to the elements, uncorrected: -2285 meV/atom

***

This record from the Alexandria database describes a relaxed SrBeReO6 crystal. The functional is PBE.

Geometry as POSCAR:
```
SrBeReO6
1.0
5.153 0.190 0.294
2.740 4.349 0.091
0.307 -0.069 5.403
Be O Re Sr
1 6 1 1
Direct
0.579 0.743 0.396
0.709 0.234 0.657
0.562 0.021 0.235
0.945 0.466 0.368
0.380 0.966 0.652
0.081 0.574 0.794
0.377 0.604 0.310
0.358 0.330 0.544
0.008 0.062 0.043
```

Results
* raw total energy: -7.260 eV per atom
* SG: P1, No. 1
* calculated volume: 13.1 Å³/atom
* energy relative to the elements, uncorrected: -1971 meV/atom

***

This record from the Alexandria database describes a relaxed BeReTcO2 crystal. The functional is PBE.

Geometry as POSCAR:
```
BeReTcO2
1.0
-3.108 -1.198 1.611
0.014 -4.249 -3.133
2.008 -1.840 2.505
O Tc Be Re
2 1 1 1
Direct
0.000 0.000 0.500
0.500 0.000 0.000
0.000 0.500 0.000
0.500 0.500 0.500
0.000 0.000 0.000
```

Results
* raw total energy: -7.326 eV per atom
* SG: P4/mmm, No. 123
* calculated volume: 14.5 Å³/atom
* energy relative to the elements, uncorrected: -35 meV/atom

***

This record from the Alexandria database describes a relaxed TiBe2ReO crystal. The functional is PBE.

Geometry as POSCAR:
```
TiBe2ReO
1.0
-3.621 -0.716 -0.161
0.452 -1.461 -3.667
0.602 -3.360 1.413
Be Re Ti O
2 1 1 1
Direct
0.500 0.000 0.000
0.000 0.000 0.500
0.500 0.500 0.500
0.000 0.500 0.000
0.000 0.000 0.000
```

Results
* raw total energy: -7.137 eV per atom
* SG: P4/mmm, No. 123
* calculated volume: 10.8 Å³/atom
* energy relative to the elements, uncorrected: -587 meV/atom

***

This record from the Alexandria database describes a relaxed BeRh2O crystal. The functional is PBE.

Geometry as POSCAR:
```
BeRh2O
1.0
4.937 0.000 0.000
0.000 4.937 0.000
2.469 2.469 4.556
Rh Be O
4 2 2
Direct
0.646 0.125 0.250
0.104 0.625 0.250
0.375 0.354 0.750
0.875 0.896 0.750
0.250 0.750 0.500
0.500 0.500 0.000
0.000 0.000 0.000
0.750 0.250 0.500
```

Results
* energy above the most stable polymorph in this dataset: 0 meV/atom
* raw total energy: -5.712 eV per atom
* SG: I-42d, No. 122
* calculated volume: 13.9 Å³/atom
* energy relative to the elements, uncorrected: 135 meV/atom

***

This record from the Alexandria database describes a relaxed Be5Rh3O12 crystal. The functional is PBE.

Geometry as POSCAR:
```
Be5Rh3O12
1.0
9.497 0.000 0.000
-3.166 8.954 0.000
-3.166 -4.477 7.754
Be Rh O
20 12 48
Direct
0.125 0.375 0.250
0.250 0.875 0.125
0.000 0.500 0.000
0.375 0.250 0.125
0.625 0.750 0.875
0.000 0.000 0.500
0.500 0.000 0.000
0.875 0.625 0.750
0.000 0.500 0.500
0.500 0.000 0.500
0.500 0.500 0.500
0.000 0.000 0.000
0.125 0.750 0.375
0.375 0.125 0.750
0.250 0.375 0.625
0.750 0.125 0.875
0.500 0.500 0.000
0.625 0.875 0.250
0.875 0.250 0.625
0.750 0.625 0.375
0.750 0.375 0.125
0.375 0.625 0.250
0.250 0.625 0.875
0.875 0.750 0.125
0.125 0.250 0.875
0.125 0.875 0.750
0.250 0.125 0.375
0.625 0.375 0.750
0.875 0.125 0.250
0.625 0.250 0.375
0.375 0.750 0.625
0.750 0.875 0.625
0.122 0.711 0.529
0.318 0.529 0.407
0.911 0.818 0.789
0.378 0.407 0.089
0.971 0.593 0.182
0.878 0.289 0.471
0.529 0.318 0.907
0.089 0.182 0.211
0.211 0.682 0.089
0.971 0.378 0.289
0.589 0.878 0.407
0.471 0.682 0.093
0.907 0.818 0.529
0.289 0.411 0.818
0.182 0.093 0.971
0.093 0.911 0.122
0.622 0.593 0.911
0.593 0.622 0.411
0.682 0.471 0.593
0.378 0.971 0.789
0.029 0.622 0.711
0.318 0.789 0.411
0.029 0.407 0.818
0.529 0.211 0.122
0.089 0.907 0.378
0.589 0.711 0.682
0.711 0.122 0.029
0.411 0.122 0.593
0.907 0.089 0.878
0.593 0.971 0.682
0.622 0.029 0.211
0.407 0.029 0.318
0.182 0.089 0.711
0.211 0.529 0.622
0.818 0.911 0.289
0.471 0.789 0.878
0.289 0.878 0.971
0.682 0.211 0.589
0.911 0.093 0.622
0.407 0.378 0.589
0.818 0.907 0.029
0.093 0.182 0.471
0.711 0.589 0.182
0.789 0.471 0.378
0.878 0.589 0.907
0.411 0.289 0.318
0.789 0.318 0.911
0.122 0.411 0.093
```

Results
* raw total energy: -6.403 eV per atom
* SG: Ia-3d, No. 230
* calculated volume: 8.2 Å³/atom
* energy relative to the elements, uncorrected: -1394 meV/atom

***

This record from the Alexandria database describes a relaxed Be3RhO crystal. The functional is PBE.

Geometry as POSCAR:
```
Be3RhO
1.0
-2.008 3.478 -0.887
-1.209 -1.612 -3.586
-3.380 -1.490 1.809
Be O Rh
3 1 1
Direct
0.500 0.000 0.000
0.000 0.500 0.000
0.000 0.000 0.500
0.500 0.500 0.500
0.000 0.000 0.000
```

Results
* energy above the most stable polymorph in this dataset: 1519 meV/atom
* raw total energy: -3.928 eV per atom
* SG: Pm-3m, No. 221
* calculated volume: 13.9 Å³/atom
* energy relative to the elements, uncorrected: 769 meV/atom

***

This record from the Alexandria database describes a relaxed BeRh3O crystal. The functional is PBE.

Geometry as POSCAR:
```
BeRh3O
1.0
-2.850 -1.438 -2.472
2.672 -2.583 -1.578
-1.019 -2.749 2.775
Rh O Be
3 1 1
Direct
0.000 0.000 0.500
0.000 0.500 0.000
0.500 0.000 0.000
0.000 0.000 0.000
0.500 0.500 0.500
```

Results
* energy above the most stable polymorph in this dataset: 0 meV/atom
* raw total energy: -5.935 eV per atom
* SG: Pm-3m, No. 221
* calculated volume: 13.2 Å³/atom
* energy relative to the elements, uncorrected: 212 meV/atom

***

This record from the Alexandria database describes a relaxed BeRh2O crystal. The functional is PBE.

Geometry as POSCAR:
```
BeRh2O
1.0
0.000 2.798 2.798
2.798 0.000 2.798
2.798 2.798 0.000
Rh Be O
2 1 1
Direct
0.750 0.750 0.750
0.250 0.250 0.250
0.000 0.000 0.000
0.500 0.500 0.500
```

Results
* energy above the most stable polymorph in this dataset: 69 meV/atom
* raw total energy: -5.643 eV per atom
* SG: Fm-3m, No. 225
* calculated volume: 11.0 Å³/atom
* energy relative to the elements, uncorrected: 204 meV/atom

***

This record from the Alexandria database describes a relaxed BeRhO2 crystal. The functional is PBE.

Geometry as POSCAR:
```
BeRhO2
1.0
1.976 0.000 4.598
-0.988 1.711 4.598
-0.988 -1.711 4.598
O Rh Be
2 1 1
Direct
0.106 0.106 0.106
0.894 0.894 0.894
0.500 0.500 0.500
0.000 0.000 0.000
```

Results
* raw total energy: -6.174 eV per atom
* SG: R-3m, No. 166
* calculated volume: 11.7 Å³/atom
* energy relative to the elements, uncorrected: -925 meV/atom

***

This record from the Alexandria database describes a relaxed BeRhO3 crystal. The functional is PBE.

Geometry as POSCAR:
```
BeRhO3
1.0
3.823 0.000 0.000
0.000 3.823 0.000
0.000 0.000 3.823
Be O Rh
1 3 1
Direct
0.500 0.500 0.500
0.000 0.500 0.000
0.000 0.000 0.500
0.500 0.000 0.000
0.000 0.000 0.000
```

Results
* raw total energy: -5.127 eV per atom
* SG: Pm-3m, No. 221
* calculated volume: 11.2 Å³/atom
* energy relative to the elements, uncorrected: 64 meV/atom

***

This record from the Alexandria database describes a relaxed Be3RhO crystal. The functional is PBE.

Geometry as POSCAR:
```
Be3RhO
1.0
-3.503 0.544 0.119
-0.543 -3.505 0.019
0.120 0.000 3.545
Be O Rh
3 1 1
Direct
0.000 0.500 0.000
0.000 0.000 0.500
0.500 0.000 0.000
0.000 0.000 0.000
0.500 0.500 0.500
```

Results
* energy above the most stable polymorph in this dataset: 0 meV/atom
* raw total energy: -5.447 eV per atom
* SG: Pm-3m, No. 221
* calculated volume: 8.9 Å³/atom
* energy relative to the elements, uncorrected: -749 meV/atom

***

This record from the Alexandria database describes a relaxed BeRhO2 crystal. The functional is PBE.

Geometry as POSCAR:
```
BeRhO2
1.0
4.416 0.000 0.000
0.000 4.416 0.000
2.208 2.208 3.935
Rh Be O
2 2 4
Direct
0.750 0.250 0.500
0.000 0.000 0.000
0.250 0.750 0.500
0.500 0.500 0.000
0.535 0.125 0.250
0.215 0.625 0.250
0.875 0.785 0.750
0.375 0.465 0.750
```

Results
* raw total energy: -6.513 eV per atom
* SG: I-42d, No. 122
* calculated volume: 9.6 Å³/atom
* energy relative to the elements, uncorrected: -1265 meV/atom